! Li2ZnGa8, optimized geometry, DFT PBE-GGA; values from VASP
! formation energy from the elements = -88 meV/atom
! space-group type = C2/m
! crystal system = monoclinic
&SYSTEM
  ibrav = 0, nat = 11, ntyp = 3
/
ATOMIC_SPECIES
Li 6.94 Li.upf
Zn 65.41 Zn.upf
Ga 69.72 Ga.upf
CELL_PARAMETERS angstrom
4.447 0.000 0.000
0.000 5.764 -0.226
-2.223 -2.701 7.810
ATOMIC_POSITIONS crystal
Li 0.802 0.296 0.603
Li 0.198 0.704 0.397
Zn 0.500 0.000 0.000
Ga 0.360 0.595 0.720
Ga 0.637 0.875 0.274
Ga 0.818 0.817 0.636
Ga 0.003 0.278 0.006
Ga 0.182 0.183 0.364
Ga 0.363 0.125 0.726
Ga 0.640 0.405 0.280
Ga 0.997 0.722 0.994